# KCo2Ru SCAN PBEsol geometry
# **E**: -18.38 eV/atom
# **Distance to the lowest polymorph of the same formula**: 289 meV per atom
# **Mass density**: 7.3 g/cm³
data_KCo2Ru
_space_group_name_H-M_alt 'P 1'
_space_group_IT_number 1
_cell_length_a 4.7829
_cell_length_b 4.7829
_cell_length_c 2.5634
_cell_angle_alpha 90.00
_cell_angle_beta 90.00
_cell_angle_gamma 90.24
loop_
_space_group_symop_operation_xyz
'x,y,z'
loop_
_atom_site_label
_atom_site_fract_x
_atom_site_fract_y
_atom_site_fract_z
_atom_site_occupancy
K1 0.0000 0.0000 0.0000 1
Co1 0.0000 0.5000 0.5000 1
Co2 0.5000 0.0000 0.5000 1
Ru1 0.5000 0.5000 0.0000 1